No. 1
A plane-wave DFT calculation with PBE was carried out for an optimized crystal structure of Ba3Si.

Cell and atoms, written as POSCAR:
```
Ba3Si
1.0
-8.4591 -7.1808 1.4281
-6.2579 -8.8850 -2.6561
-4.4816 -10.0921 1.7956
Ba Si
3 1
direct
0.5000 0.5000 0.5000
0.7165 0.7165 0.7165
0.2835 0.2835 0.2835
0.0000 0.0000 0.0000
```

Summary:
Energy relative to the lowest polymorph listed for this composition (meV per atom): 170
ΔE_f (raw) (meV per atom): -8
DOS(E_F) (states/eV/f.u.): 6.66
Total energy (Ry per atom): -0.20622
Crystal system: trigonal


No. 2
A plane-wave DFT calculation with PBE was carried out for an optimized crystal structure of BaSi6.

Cell and atoms, written as POSCAR:
```
BaSi6
1.0
-3.4751 4.4689 0.7084
1.8038 -4.1775 3.4416
9.3756 6.7674 3.3007
Si Ba
12 2
direct
0.5624 0.4376 0.8525
0.7552 0.2448 0.9622
0.9790 0.0210 0.5982
0.2448 0.7552 0.0378
0.0210 0.9790 0.4018
0.9790 0.0210 0.9018
0.7552 0.2448 0.5378
0.4376 0.5624 0.1475
0.5624 0.4376 0.6475
0.2448 0.7552 0.4622
0.4376 0.5624 0.3525
0.0210 0.9790 0.0982
0.7203 0.2797 0.2500
0.2797 0.7203 0.7500
```

Summary:
Energy relative to the lowest polymorph listed for this composition (meV per atom): 18
ΔE_f (raw) (meV per atom): -88
DOS(E_F) (states/eV/f.u.): 2.12
Total energy (Ry per atom): -0.36828
Crystal system: orthorhombic


No. 3
A plane-wave DFT calculation with PBE was carried out for an optimized crystal structure of BaSi2.

Cell and atoms, written as POSCAR:
```
BaSi2
1.0
5.8253 0.0000 0.0000
2.9127 5.0449 0.0000
2.9127 1.6816 4.7564
Si Ba
4 2
direct
0.6250 0.6250 0.6250
0.6250 0.1250 0.6250
0.6250 0.6250 0.1250
0.1250 0.6250 0.6250
0.0000 0.0000 0.0000
0.2500 0.2500 0.2500
```

Summary:
ΔE_f (raw) (meV per atom): -88
DOS(E_F) (states/eV/f.u.): 0.88
Total energy (Ry per atom): -0.31932
Crystal system: cubic